i) This record from Alexandria describes a relaxed structure of HgCl5. The functional is PBE.

V (Å³/cell): 159

Unit cell a=6.9859 b=6.9859 c=3.7610 alpha=90.00 beta=90.00 gamma=120.00
With the nearest neighbours (Å) after each atom.
Space group P-62m (No. 189)
Asymmetric unit:
Hg (0.0000, 0.0000, 0.0000) x1  6 Cl 2.72
Cl (0.0000, 0.7178, 0.5000) x3  2 Hg 2.72
Cl (0.3333, 0.6667, 0.0000) x2  6 Cl 3.15

=====

ii) This record from Alexandria describes a relaxed structure of HgCl5. The functional is PBE.

V (Å³/cell): 383

Unit cell a=15.1406 b=3.7644 c=6.8304 alpha=90.00 beta=100.45 gamma=90.00
With the nearest neighbours (Å) after each atom.
Space group Cm (No. 8)
Asymmetric unit:
Hg (0.0000, 0.0000, 0.0000) x2  5 Cl 2.60-2.69
Cl (0.0322, 0.5000, 0.7594) x2  2 Hg 2.60
Cl (0.0332, 0.5000, 0.2672) x2  2 Hg 2.61
Cl (0.2824, 0.0000, 0.5629) x2  1 Cl 2.00
Cl (0.2848, 0.0000, 0.2711) x2  1 Cl 2.00
Cl (0.3192, 0.5000, 0.9316) x2  1 Hg 2.69

=====

iii) This record from Alexandria describes a relaxed structure of HgCl5. The functional is PBE.

V (Å³/cell): 208

Unit cell a=4.1613 b=5.1574 c=9.8251 alpha=90.00 beta=99.05 gamma=90.00
With the nearest neighbours (Å) after each atom.
Space group Pm (No. 6)
Asymmetric unit:
Hg (0.0000, 0.0000, 0.0000) x1  4 Cl 2.38-2.58
Cl (0.0032, 0.5000, 0.9992) x1  2 Hg 2.58
Cl (0.2936, 0.0000, 0.8109) x1  1 Hg 2.38
Cl (0.4350, 0.5000, 0.5934) x1  1 Cl 1.99
Cl (0.5405, 0.5000, 0.4030) x1  1 Cl 1.99
Cl (0.7049, 0.0000, 0.1886) x1  1 Hg 2.38

=====

The least stable of them is i).